1.
# GGA-PBE CsRb2MgCd, relaxed
# ΔE_f (eV per atom): 0.109
# D(E_F) (states/eV/f.u.): 3.17
# Space-group type: P4/mmm
# Crystal system: tetragonal
# Calculated total energy (eV/atom): -0.950
# M_tot (μB per cell): 0.0
data_CsRb2MgCd
_symmetry_space_group_name_H-M 'P 1'
_symmetry_Int_Tables_number 1
_cell_length_a 7.337
_cell_length_b 7.337
_cell_length_c 5.672
_cell_angle_alpha 90.00
_cell_angle_beta 90.00
_cell_angle_gamma 90.00
loop_
_symmetry_equiv_pos_as_xyz
'x,y,z'
loop_
_atom_site_label
_atom_site_type_symbol
_atom_site_fract_x
_atom_site_fract_y
_atom_site_fract_z
_atom_site_occupancy
Cd1 Cd 0.000 0.000 0.000 1
Rb1 Rb 0.500 0.000 0.000 1
Cs1 Cs 0.500 0.500 0.500 1
Rb2 Rb 0.000 0.500 0.000 1
Mg1 Mg 0.000 0.000 0.500 1

2.
# GGA-PBE Cs2RbMgCd, relaxed
# ΔE_f (eV per atom): 0.120
# Offset from the most stable computed form (eV/atom): 0.000
# D(E_F) (states/eV/f.u.): 4.14
# Space-group type: P4/mmm
# Crystal system: tetragonal
# Calculated total energy (eV/atom): -0.917
# M_tot (μB per cell): 0.0
data_Cs2RbMgCd
_symmetry_space_group_name_H-M 'P 1'
_symmetry_Int_Tables_number 1
_cell_length_a 7.643
_cell_length_b 7.643
_cell_length_c 5.693
_cell_angle_alpha 90.00
_cell_angle_beta 90.00
_cell_angle_gamma 90.00
loop_
_symmetry_equiv_pos_as_xyz
'x,y,z'
loop_
_atom_site_label
_atom_site_type_symbol
_atom_site_fract_x
_atom_site_fract_y
_atom_site_fract_z
_atom_site_occupancy
Cd1 Cd 0.000 0.000 0.000 1
Cs1 Cs 0.000 0.500 0.000 1
Mg1 Mg 0.000 0.000 0.500 1
Rb1 Rb 0.500 0.500 0.500 1
Cs2 Cs 0.500 0.000 0.000 1

3.
# GGA-PBE CsMgCd2Rh, relaxed
# ΔE_f (eV per atom): -0.092
# D(E_F) (states/eV/f.u.): 1.75
# Space-group type: P4/mmm
# Crystal system: tetragonal
# Calculated total energy (eV/atom): -2.418
# M_tot (μB per cell): 0.0
data_CsMgCd2Rh
_symmetry_space_group_name_H-M 'P 1'
_symmetry_Int_Tables_number 1
_cell_length_a 5.418
_cell_length_b 5.418
_cell_length_c 5.115
_cell_angle_alpha 90.00
_cell_angle_beta 90.00
_cell_angle_gamma 90.00
loop_
_symmetry_equiv_pos_as_xyz
'x,y,z'
loop_
_atom_site_label
_atom_site_type_symbol
_atom_site_fract_x
_atom_site_fract_y
_atom_site_fract_z
_atom_site_occupancy
Rh1 Rh 0.000 0.000 0.000 1
Cd1 Cd 0.500 0.000 0.000 1
Mg1 Mg 0.000 0.000 0.500 1
Cs1 Cs 0.500 0.500 0.500 1
Cd2 Cd 0.000 0.500 0.000 1

4.
# GGA-PBE CsMgCdSb, relaxed
# D(E_F) (states/eV/f.u.): 1.04
# Space-group type: P4/nmm
# Crystal system: tetragonal
# Calculated total energy (eV/atom): -2.201
# M_tot (μB per cell): 0.0
data_CsMgCdSb
_symmetry_space_group_name_H-M 'P 1'
_symmetry_Int_Tables_number 1
_cell_length_a 4.750
_cell_length_b 4.750
_cell_length_c 14.021
_cell_angle_alpha 90.00
_cell_angle_beta 90.00
_cell_angle_gamma 90.00
loop_
_symmetry_equiv_pos_as_xyz
'x,y,z'
loop_
_atom_site_label
_atom_site_type_symbol
_atom_site_fract_x
_atom_site_fract_y
_atom_site_fract_z
_atom_site_occupancy
Sb1 Sb 0.750 0.750 0.878 1
Sb2 Sb 0.250 0.250 0.122 1
Mg1 Mg 0.750 0.250 0.000 1
Cs1 Cs 0.250 0.250 0.746 1
Mg2 Mg 0.250 0.750 0.000 1
Cs2 Cs 0.750 0.750 0.254 1
Cd1 Cd 0.250 0.750 0.500 1
Cd2 Cd 0.750 0.250 0.500 1

5.
# GGA-PBE Cs2MgCd2Se4, relaxed
# D(E_F) (states/eV/f.u.): 0.00
# Space-group type: C2/m
# Crystal system: monoclinic
# Calculated total energy (eV/atom): -3.087
# M_tot (μB per cell): 0.0
data_Cs2MgCd2Se4
_symmetry_space_group_name_H-M 'P 1'
_symmetry_Int_Tables_number 1
_cell_length_a 4.222
_cell_length_b 8.318
_cell_length_c 8.803
_cell_angle_alpha 106.03
_cell_angle_beta 103.87
_cell_angle_gamma 90.00
loop_
_symmetry_equiv_pos_as_xyz
'x,y,z'
loop_
_atom_site_label
_atom_site_type_symbol
_atom_site_fract_x
_atom_site_fract_y
_atom_site_fract_z
_atom_site_occupancy
Se1 Se 0.788 0.811 0.577 1
Cd1 Cd 0.332 0.017 0.663 1
Mg1 Mg 0.000 0.000 0.000 1
Cd2 Cd 0.668 0.983 0.337 1
Se2 Se 0.212 0.189 0.423 1
Se3 Se 0.484 0.207 0.968 1
Cs1 Cs 0.876 0.460 0.753 1
Cs2 Cs 0.124 0.540 0.247 1
Se4 Se 0.516 0.793 0.032 1

6.
# GGA-PBE Cs2MgCd3Sn4, relaxed
# ΔE_f (eV per atom): -0.137
# D(E_F) (states/eV/f.u.): 5.78
# Space-group type: P-4m2
# Crystal system: tetragonal
# Calculated total energy (eV/atom): -2.343
# M_tot (μB per cell): 0.0
data_Cs2MgCd3Sn4
_symmetry_space_group_name_H-M 'P 1'
_symmetry_Int_Tables_number 1
_cell_length_a 5.022
_cell_length_b 5.022
_cell_length_c 12.775
_cell_angle_alpha 90.00
_cell_angle_beta 90.00
_cell_angle_gamma 90.00
loop_
_symmetry_equiv_pos_as_xyz
'x,y,z'
loop_
_atom_site_label
_atom_site_type_symbol
_atom_site_fract_x
_atom_site_fract_y
_atom_site_fract_z
_atom_site_occupancy
Cs1 Cs 0.000 0.500 0.748 1
Cd1 Cd 0.000 0.500 0.139 1
Cd2 Cd 0.000 0.000 0.500 1
Cd3 Cd 0.500 0.000 0.861 1
Sn1 Sn 0.500 0.000 0.629 1
Cs2 Cs 0.500 0.000 0.252 1
Mg1 Mg 0.500 0.500 0.500 1
Sn2 Sn 0.500 0.500 0.000 1
Sn3 Sn 0.000 0.000 0.000 1
Sn4 Sn 0.000 0.500 0.371 1

7.
# GGA-PBE CsMg2Cd2Sn2, relaxed
# ΔE_f (eV per atom): -0.173
# D(E_F) (states/eV/f.u.): 1.48
# Space-group type: C2/m
# Crystal system: monoclinic
# Calculated total energy (eV/atom): -2.156
# M_tot (μB per cell): 0.0
data_CsMg2Cd2Sn2
_symmetry_space_group_name_H-M 'P 1'
_symmetry_Int_Tables_number 1
_cell_length_a 5.001
_cell_length_b 4.999
_cell_length_c 10.553
_cell_angle_alpha 103.76
_cell_angle_beta 90.00
_cell_angle_gamma 120.01
loop_
_symmetry_equiv_pos_as_xyz
'x,y,z'
loop_
_atom_site_label
_atom_site_type_symbol
_atom_site_fract_x
_atom_site_fract_y
_atom_site_fract_z
_atom_site_occupancy
Mg1 Mg 0.858 0.717 0.575 1
Mg2 Mg 0.142 0.283 0.425 1
Sn1 Sn 0.758 0.516 0.276 1
Sn2 Sn 0.242 0.484 0.724 1
Cd1 Cd 0.553 0.107 0.659 1
Cs1 Cs 0.000 0.000 0.000 1
Cd2 Cd 0.447 0.893 0.341 1

8.
# GGA-PBE Cs2MgCd2Te4, relaxed
# Space-group type: C2/m
# Crystal system: monoclinic
# Calculated total energy (eV/atom): -2.752
# M_tot (μB per cell): 0.0
data_Cs2MgCd2Te4
_symmetry_space_group_name_H-M 'P 1'
_symmetry_Int_Tables_number 1
_cell_length_a 4.518
_cell_length_b 8.867
_cell_length_c 9.208
_cell_angle_alpha 106.54
_cell_angle_beta 104.20
_cell_angle_gamma 90.00
loop_
_symmetry_equiv_pos_as_xyz
'x,y,z'
loop_
_atom_site_label
_atom_site_type_symbol
_atom_site_fract_x
_atom_site_fract_y
_atom_site_fract_z
_atom_site_occupancy
Cd1 Cd 0.330 0.023 0.661 1
Mg1 Mg 0.000 0.000 0.000 1
Te1 Te 0.206 0.187 0.413 1
Te2 Te 0.513 0.785 0.026 1
Cs1 Cs 0.124 0.551 0.249 1
Cd2 Cd 0.670 0.977 0.339 1
Te3 Te 0.487 0.215 0.974 1
Cs2 Cs 0.876 0.449 0.751 1
Te4 Te 0.794 0.813 0.587 1